DFT (PBE-GGA) results for a geometry-optimized CsNdPu structure.

a = 6.2460 Å, b = 6.2460 Å, c = 6.2460 Å
α = 60.00°, β = 60.00°, γ = 60.00°
Fractional positions:
Cs 0.0000 0.0000 0.0000
Nd 0.5000 0.5000 0.5000
Pu 0.2500 0.2500 0.2500

Results
The calculation puts the uncorrected energy at -16.01 eV per formula unit. As for the crystal system: cubic.